Crystalline Li4MgZn2 at its relaxed geometry, computed with PBE.

Cell: 5.415 5.415 5.415 Å, 103.60 103.60 122.00°
Positions (direct):
Li 0.200 0.201 0.401
Li 0.800 0.799 0.599
Li 0.799 0.200 0.000
Li 0.201 0.800 0.000
Zn 0.250 0.750 0.500
Zn 0.750 0.250 0.500
Mg 0.500 0.500 0.000

## Properties
distance to the lowest polymorph of the same formula = 0.0337 eV/atom
DFT total energy = -1.774 eV per atom
formation enthalpy at 0 K = -0.089 eV/atom
M_tot = 0.0 μB/f.u.
ρ = 2.58 g/cm3
crystal system = tetragonal